No. 1
This record from Alexandria via LeMat-Bulk describes a relaxed CaSbPW2 crystal. The functional is PBE-GGA.

The value obtained for the formation energy from raw total energies is 1.948 eV/atom. The calculated density is 6.707 g cm⁻³. The total energy comes out at -27.70 eV for the cell shown. As for the crystal system: tetragonal. Its density of states at the Fermi level is 5.140 states/eV per cell.

It has space group P4/mmm (No. 123), with a = 4.9703 Å, b = 4.9703 Å, c = 5.6170 Å, α = 90.00°, β = 90.00° and γ = 90.00°. Symmetry generates all atoms from Ca at (0.0000, 0.0000, 0.0000), Sb at (0.0000, 0.0000, 0.5000), P at (0.5000, 0.5000, 0.0000) and W at (0.0000, 0.5000, 0.5000).

***

No. 2
This record from Alexandria via LeMat-Bulk describes a relaxed RbYZr2Mn crystal. The functional is PBE-GGA.

The calculated density is 4.189 g cm⁻³. The total energy comes out at -22.61 eV for the cell shown. As for the crystal system: tetragonal. The calculated formation energy comes out at 2.218 eV/atom. Its density of states at the Fermi level is 7.596 states/eV per cell.

It has space group P4/mmm (No. 123), with a = 5.3082 Å, b = 5.3082 Å, c = 5.7924 Å, α = 90.00°, β = 90.00° and γ = 90.00°. Symmetry generates all atoms from Rb at (0.0000, 0.0000, 0.0000), Y at (0.0000, 0.0000, 0.5000), Zr at (0.0000, 0.5000, 0.5000) and Mn at (0.5000, 0.5000, 0.0000).

***

- What is the total energy in the second record?
  -22.61 eV for the cell shown